[1]
VASP calculation (SCAN) on a PBEsol-optimized structure of Sc6FeTe2.

Cell and atoms, written as extended XYZ:
```
9
Lattice="7.6114 0.0000 0.0000 -3.8057 6.5917 0.0000 0.0000 0.0000 3.7354" Properties=species:S:1:pos:R:3 pbc="T T T"
Sc -0.8883 1.5386 0.0000
Sc -2.3388 4.0510 1.8677
Sc 1.7766 0.0000 0.0000
Sc 1.4669 2.5407 1.8677
Sc 4.6777 0.0000 1.8677
Sc 2.9174 5.0531 0.0000
Fe 0.0000 0.0000 1.8677
Te 0.0000 4.3944 0.0000
Te 3.8057 2.1972 0.0000
```

- E: -183.909 eV for the cell shown
- Total magnetization: 1.9 μB per cell
- E_form (uncorrected): -0.650 eV/atom
- ρ: 5.1 g/cm3



[2]
VASP calculation (SCAN) on a PBEsol-optimized structure of Sc2Ti2Fe.

Cell and atoms, written as extended XYZ:
```
5
Lattice="-1.6475 1.6475 8.5774 1.6475 -1.6475 8.5774 1.6475 1.6475 -8.5774" Properties=species:S:1:pos:R:3 pbc="T T T"
Sc 0.0000 0.0000 1.4446
Sc 0.0000 0.0000 15.7102
Ti 1.6475 0.0000 4.2887
Ti 0.0000 1.6475 4.2887
Fe 0.0000 0.0000 8.5774
```

- Energy of formation from the pure elements: 0.515 eV per atom
- E: -76.090 eV for the cell shown
- Total magnetization: 0.0 μB per cell
- ρ: 4.3 g/cm3



[3]
VASP calculation (SCAN) on a PBEsol-optimized structure of Sc3TlFe.

Cell and atoms, written as extended XYZ:
```
5
Lattice="5.2548 0.0000 0.0000 0.0000 5.2548 0.0000 0.0000 0.0000 5.2548" Properties=species:S:1:pos:R:3 pbc="T T T"
Sc 0.0000 0.0000 2.6274
Sc 0.0000 2.6274 0.0000
Sc 2.6274 0.0000 0.0000
Tl 0.0000 0.0000 0.0000
Fe 2.6274 2.6274 2.6274
```

- Energy of formation from the pure elements: 0.836 eV per atom
- E: -129.019 eV for the cell shown
- Total magnetization: 1.6 μB per cell
- ρ: 4.5 g/cm3



[4]
VASP calculation (SCAN) on a PBEsol-optimized structure of ScTlFe2.

Cell and atoms, written as extended XYZ:
```
4
Lattice="3.0958 0.0000 0.0000 0.0000 3.0958 0.0000 0.0000 0.0000 6.7341" Properties=species:S:1:pos:R:3 pbc="T T T"
Sc 0.0000 0.0000 0.0000
Tl 1.5479 1.5479 2.2426
Fe 0.0000 0.0000 3.9962
Fe 1.5479 1.5479 5.1401
```

- Energy of formation from the pure elements: 0.000 eV per atom
- E: -122.855 eV for the cell shown
- Total magnetization: 4.6 μB per cell
- ρ: 9.3 g/cm3



[5]
VASP calculation (SCAN) on a PBEsol-optimized structure of ScTlFe2.

Cell and atoms, written as extended XYZ:
```
4
Lattice="-2.0953 2.0953 3.5214 2.0953 -2.0953 3.5214 2.0953 2.0953 -3.5214" Properties=species:S:1:pos:R:3 pbc="T T T"
Sc 0.0000 0.0000 0.0000
Tl 0.0000 0.0000 3.5214
Fe 2.0953 0.0000 1.7607
Fe 0.0000 2.0953 1.7607
```

- Energy of formation from the pure elements: 0.191 eV per atom
- E: -122.090 eV for the cell shown
- Total magnetization: 4.7 μB per cell
- ρ: 9.7 g/cm3



[6]
VASP calculation (SCAN) on a PBEsol-optimized structure of ScFeW2.

Cell and atoms, written as extended XYZ:
```
4
Lattice="1.6075 -2.2015 0.0000 1.6075 2.2015 0.0000 0.0000 0.0000 8.6451" Properties=species:S:1:pos:R:3 pbc="T T T"
Sc 0.0000 0.0000 0.0000
Fe 1.6075 0.0000 2.0867
W 0.0000 0.0000 3.9995
W 1.6075 0.0000 6.2161
```

- Energy of formation from the pure elements: 0.217 eV per atom
- E: -170.873 eV for the cell shown
- Total magnetization: 1.8 μB per cell
- ρ: 12.7 g/cm3



[7]
VASP calculation (SCAN) on a PBEsol-optimized structure of ScFeW2.

Cell and atoms, written as extended XYZ:
```
4
Lattice="2.7618 0.0000 0.0000 0.0000 2.7618 0.0000 0.0000 0.0000 8.0235" Properties=species:S:1:pos:R:3 pbc="T T T"
Sc 0.0000 0.0000 0.0000
Fe 0.0000 0.0000 4.0117
W 1.3809 1.3809 2.3367
W 1.3809 1.3809 5.6868
```

- Energy of formation from the pure elements: 0.371 eV per atom
- E: -170.258 eV for the cell shown
- Total magnetization: 0.0 μB per cell
- ρ: 12.7 g/cm3



[8]
VASP calculation (SCAN) on a PBEsol-optimized structure of ScFe4W.

Cell and atoms, written as extended XYZ:
```
6
Lattice="0.0000 3.3540 3.3540 3.3540 0.0000 3.3540 3.3540 3.3540 0.0000" Properties=species:S:1:pos:R:3 pbc="T T T"
Sc 0.0000 0.0000 0.0000
Fe 4.1902 2.5178 2.5178
Fe 2.5178 4.1902 2.5178
Fe 2.5178 2.5178 4.1902
Fe 4.1902 4.1902 4.1902
W 1.6770 1.6770 1.6770
```

- Energy of formation from the pure elements: 0.012 eV per atom
- E: -156.371 eV for the cell shown
- Total magnetization: 6.8 μB per cell
- ρ: 10.0 g/cm3